# 1
This record from the Alexandria database describes crystalline YSn2W at its relaxed geometry. The functional is PBE.

## Properties
calculated formation energy: 0.158 eV per atom

CIF file:
```
data_YSn2W
_cell_length_a 7.024
_cell_length_b 7.024
_cell_length_c 7.024
_cell_angle_alpha 90.00
_cell_angle_beta 90.00
_cell_angle_gamma 90.00
_symmetry_space_group_name_H-M 'F m -3 m'
_symmetry_Int_Tables_number 225
_symmetry_space_group_name_Hall '-F 4 2 3'
loop_
_atom_site_label
_atom_site_type_symbol
_atom_site_fract_x
_atom_site_fract_y
_atom_site_fract_z
_atom_site_occupancy
Y1 Y 0.000 0.000 0.000 1
Sn1 Sn 0.250 0.250 0.250 1
W1 W 0.000 0.000 0.500 1
```


# 2
This record from the Alexandria database describes crystalline La2IBrN at its relaxed geometry. The functional is PBE.

## Properties
E_form (uncorrected): -8.1 eV/f.u.

CIF file:
```
data_La2IBrN
_cell_length_a 17.217
_cell_length_b 4.179
_cell_length_c 11.613
_cell_angle_alpha 90.00
_cell_angle_beta 129.17
_cell_angle_gamma 90.00
_symmetry_space_group_name_H-M 'C 1 2/m 1'
_symmetry_Int_Tables_number 12
_symmetry_space_group_name_Hall '-C 2y'
loop_
_atom_site_label
_atom_site_type_symbol
_atom_site_fract_x
_atom_site_fract_y
_atom_site_fract_z
_atom_site_occupancy
La1 La 0.093 0.000 0.379 1
La2 La 0.116 0.500 0.680 1
I1 I 0.196 0.500 0.266 1
Br1 Br 0.126 0.000 0.897 1
N1 N 0.053 0.500 0.431 1
```


# 3
This record from the Alexandria database describes crystalline Ti6Ga2Re at its relaxed geometry. The functional is PBE.

## Properties
calculated formation energy: 0.052 eV per atom

CIF file:
```
data_Ti6Ga2Re
_cell_length_a 4.318
_cell_length_b 6.111
_cell_length_c 12.880
_cell_angle_alpha 90.00
_cell_angle_beta 90.00
_cell_angle_gamma 90.00
_symmetry_space_group_name_H-M 'I m m m'
_symmetry_Int_Tables_number 71
_symmetry_space_group_name_Hall '-I 2 2'
loop_
_atom_site_label
_atom_site_type_symbol
_atom_site_fract_x
_atom_site_fract_y
_atom_site_fract_z
_atom_site_occupancy
Ti1 Ti 0.000 0.242 0.000 1
Ti2 Ti 0.000 0.255 0.339 1
Ga1 Ga 0.000 0.500 0.169 1
Re1 Re 0.000 0.500 0.500 1
```


# 4
This record from the Alexandria database describes crystalline AcAl3 at its relaxed geometry. The functional is PBE.

## Properties
calculated formation energy: -0.366 eV per atom

CIF file:
```
data_AcAl3
_cell_length_a 6.9124
_cell_length_b 6.9124
_cell_length_c 4.7171
_cell_angle_alpha 90.00
_cell_angle_beta 90.00
_cell_angle_gamma 120.00
_symmetry_space_group_name_H-M 'P 63/m m c'
_symmetry_Int_Tables_number 194
_symmetry_space_group_name_Hall '-P 6c 2c'
loop_
_atom_site_label
_atom_site_type_symbol
_atom_site_fract_x
_atom_site_fract_y
_atom_site_fract_z
_atom_site_occupancy
Ac1 Ac 0.3333 0.6667 0.2500 1
Al1 Al 0.1319 0.2637 0.7500 1
```


# 5
This record from the Alexandria database describes crystalline BaGa2Au2 at its relaxed geometry. The functional is PBE.

## Properties
calculated formation energy: -0.567 eV per atom

CIF file:
```
data_BaGa2Au2
_cell_length_a 4.638
_cell_length_b 4.638
_cell_length_c 11.137
_cell_angle_alpha 90.00
_cell_angle_beta 90.00
_cell_angle_gamma 90.00
_symmetry_space_group_name_H-M 'I 4/m m m'
_symmetry_Int_Tables_number 139
_symmetry_space_group_name_Hall '-I 4 2'
loop_
_atom_site_label
_atom_site_type_symbol
_atom_site_fract_x
_atom_site_fract_y
_atom_site_fract_z
_atom_site_occupancy
Ba1 Ba 0.000 0.000 0.000 1
Ga1 Ga 0.000 0.500 0.250 1
Au1 Au 0.000 0.000 0.369 1
```


# 6
This record from the Alexandria database describes crystalline KZr2Cu at its relaxed geometry. The functional is PBE.

## Properties
calculated formation energy: 0.953 eV per atom

CIF file:
```
data_KZr2Cu
_cell_length_a 6.997
_cell_length_b 6.997
_cell_length_c 6.997
_cell_angle_alpha 90.00
_cell_angle_beta 90.00
_cell_angle_gamma 90.00
_symmetry_space_group_name_H-M 'F m -3 m'
_symmetry_Int_Tables_number 225
_symmetry_space_group_name_Hall '-F 4 2 3'
loop_
_atom_site_label
_atom_site_type_symbol
_atom_site_fract_x
_atom_site_fract_y
_atom_site_fract_z
_atom_site_occupancy
K1 K 0.000 0.000 0.000 1
Zr1 Zr 0.250 0.250 0.250 1
Cu1 Cu 0.000 0.000 0.500 1
```


# 7
This record from the Alexandria database describes crystalline Ba3As2H at its relaxed geometry. The functional is PBE.

## Properties
energy: -3.871 eV/atom

CIF file:
```
data_Ba3As2H
_cell_length_a 4.627
_cell_length_b 6.547
_cell_length_c 14.027
_cell_angle_alpha 90.00
_cell_angle_beta 90.00
_cell_angle_gamma 90.00
_symmetry_space_group_name_H-M 'I m m m'
_symmetry_Int_Tables_number 71
_symmetry_space_group_name_Hall '-I 2 2'
loop_
_atom_site_label
_atom_site_type_symbol
_atom_site_fract_x
_atom_site_fract_y
_atom_site_fract_z
_atom_site_occupancy
Ba1 Ba 0.000 0.000 0.000 1
Ba2 Ba 0.000 0.000 0.337 1
As1 As 0.000 0.500 0.333 1
H1 H 0.000 0.500 0.000 1
```


# 8
This record from the Alexandria database describes crystalline MnZn2Ag at its relaxed geometry. The functional is PBE.

## Properties
calculated formation energy: 0.093 eV per atom

CIF file:
```
data_MnZn2Ag
_cell_length_a 3.605
_cell_length_b 4.200
_cell_length_c 8.160
_cell_angle_alpha 90.00
_cell_angle_beta 90.00
_cell_angle_gamma 90.00
_symmetry_space_group_name_H-M 'I m m 2'
_symmetry_Int_Tables_number 44
_symmetry_space_group_name_Hall 'I 2 -2'
loop_
_atom_site_label
_atom_site_type_symbol
_atom_site_fract_x
_atom_site_fract_y
_atom_site_fract_z
_atom_site_occupancy
Mn1 Mn 0.000 0.000 0.000 1
Zn1 Zn 0.000 0.000 0.488 1
Zn2 Zn 0.000 0.500 0.749 1
Ag1 Ag 0.000 0.500 0.241 1
```


Number 1: DOS at the Fermi energy 17.5 states/eV per cell. Number 2: DOS at the Fermi energy 10.0 states/eV per cell. Number 3: DOS at the Fermi energy 21.0 states/eV per cell. Number 4: DOS at the Fermi energy 4.1 states/eV per cell. Number 5: DOS at the Fermi energy 6.9 states/eV per cell. Number 6: DOS at the Fermi energy 20.3 states/eV per cell. Number 7: DOS at the Fermi energy 13.0 states/eV per cell. Number 8: DOS at the Fermi energy 3.0 states/eV per cell.